Entry 1:
A plane-wave DFT calculation with PBE was carried out for La2ZrNi after structural relaxation.

Results
As for the formation enthalpy at 0 K: 0.2013 eV per atom.

CIF file:
```
data_La2ZrNi
_space_group_name_H-M_alt 'P 1'
_space_group_IT_number 1
_cell_length_a 8.272
_cell_length_b 8.272
_cell_length_c 6.616
_cell_angle_alpha 51.31
_cell_angle_beta 51.31
_cell_angle_gamma 90.00
loop_
_space_group_symop_operation_xyz
'x,y,z'
loop_
_atom_site_label
_atom_site_type_symbol
_atom_site_fract_x
_atom_site_fract_y
_atom_site_fract_z
La1 La 0.375 0.432 0.750
La2 La 0.568 0.125 0.250
La3 La 0.182 0.625 0.250
La4 La 0.875 0.818 0.750
Ni1 Ni 0.250 0.750 0.500
Ni2 Ni 0.500 0.500 0.000
Zr1 Zr 0.000 0.000 0.000
Zr2 Zr 0.750 0.250 0.500
```

Entry 2:
A plane-wave DFT calculation with PBE was carried out for Rb2Sn2Te3 after structural relaxation.

Results
The calculation puts the uncorrected formation energy at -397 kJ/mol of formula units.

CIF file:
```
data_Rb2Sn2Te3
_space_group_name_H-M_alt 'P 1'
_space_group_IT_number 1
_cell_length_a 8.972
_cell_length_b 8.749
_cell_length_c 8.179
_cell_angle_alpha 90.00
_cell_angle_beta 75.54
_cell_angle_gamma 90.00
loop_
_space_group_symop_operation_xyz
'x,y,z'
loop_
_atom_site_label
_atom_site_type_symbol
_atom_site_fract_x
_atom_site_fract_y
_atom_site_fract_z
Rb1 Rb 0.875 0.660 0.798
Rb2 Rb 0.125 0.340 0.202
Rb3 Rb 0.375 0.840 0.798
Rb4 Rb 0.625 0.160 0.202
Sn1 Sn 0.004 0.833 0.320
Sn2 Sn 0.496 0.333 0.680
Sn3 Sn 0.504 0.667 0.320
Sn4 Sn 0.996 0.167 0.680
Te1 Te 0.757 0.990 0.565
Te2 Te 0.500 0.500 0.000
Te3 Te 0.000 0.000 0.000
Te4 Te 0.243 0.010 0.435
Te5 Te 0.257 0.510 0.565
Te6 Te 0.743 0.490 0.435
```

Entry 3:
A plane-wave DFT calculation with PBE was carried out for ErNi5Sn2 after structural relaxation.

Results
As for the formation enthalpy at 0 K: -0.2986 eV per atom.

CIF file:
```
data_ErNi5Sn2
_space_group_name_H-M_alt 'P 1'
_space_group_IT_number 1
_cell_length_a 3.986
_cell_length_b 6.807
_cell_length_c 6.807
_cell_angle_alpha 46.62
_cell_angle_beta 72.97
_cell_angle_gamma 72.97
loop_
_space_group_symop_operation_xyz
'x,y,z'
loop_
_atom_site_label
_atom_site_type_symbol
_atom_site_fract_x
_atom_site_fract_y
_atom_site_fract_z
Sn1 Sn 0.219 0.281 0.281
Sn2 Sn 0.781 0.719 0.719
Ni1 Ni 0.395 0.830 0.381
Ni2 Ni 0.000 0.500 0.500
Ni3 Ni 0.605 0.170 0.619
Ni4 Ni 0.605 0.619 0.170
Ni5 Ni 0.395 0.381 0.830
Er1 Er 0.000 0.000 0.000
```

Entry 4:
A plane-wave DFT calculation with PBE was carried out for SmZn6Ir4 after structural relaxation.

Results
As for the formation enthalpy at 0 K: -0.0762 eV per atom.

CIF file:
```
data_SmZn6Ir4
_space_group_name_H-M_alt 'P 1'
_space_group_IT_number 1
_cell_length_a 6.638
_cell_length_b 6.638
_cell_length_c 6.638
_cell_angle_alpha 89.16
_cell_angle_beta 120.49
_cell_angle_gamma 120.49
loop_
_space_group_symop_operation_xyz
'x,y,z'
loop_
_atom_site_label
_atom_site_type_symbol
_atom_site_fract_x
_atom_site_fract_y
_atom_site_fract_z
Zn1 Zn 0.373 0.480 0.480
Zn2 Zn 0.500 0.000 0.500
Zn3 Zn 0.000 0.893 0.520
Zn4 Zn 0.000 0.520 0.893
Zn5 Zn 0.627 0.107 0.107
Zn6 Zn 0.500 0.500 0.000
Ir1 Ir 0.344 0.746 0.746
Ir2 Ir 0.000 0.598 0.254
Ir3 Ir 0.656 0.402 0.402
Ir4 Ir 0.000 0.254 0.598
Sm1 Sm 0.000 0.000 0.000
```

Entry 5:
A plane-wave DFT calculation with PBE was carried out for KTlIr3 after structural relaxation.

Results
As for the formation enthalpy at 0 K: 2.8666 eV per atom.

CIF file:
```
data_KTlIr3
_space_group_name_H-M_alt 'P 1'
_space_group_IT_number 1
_cell_length_a 4.849
_cell_length_b 4.849
_cell_length_c 4.849
_cell_angle_alpha 90.00
_cell_angle_beta 90.00
_cell_angle_gamma 90.00
loop_
_space_group_symop_operation_xyz
'x,y,z'
loop_
_atom_site_label
_atom_site_type_symbol
_atom_site_fract_x
_atom_site_fract_y
_atom_site_fract_z
K1 K 0.000 0.000 0.000
Ir1 Ir 0.500 0.000 0.000
Ir2 Ir 0.000 0.500 0.000
Ir3 Ir 0.000 0.000 0.500
Tl1 Tl 0.500 0.500 0.500
```

Entry 6:
A plane-wave DFT calculation with PBE was carried out for Ag2HgGePd after structural relaxation.

Results
As for the formation enthalpy at 0 K: 0.3610 eV per atom.

CIF file:
```
data_Ag2HgGePd
_space_group_name_H-M_alt 'P 1'
_space_group_IT_number 1
_cell_length_a 4.904
_cell_length_b 4.724
_cell_length_c 4.904
_cell_angle_alpha 90.00
_cell_angle_beta 90.00
_cell_angle_gamma 90.00
loop_
_space_group_symop_operation_xyz
'x,y,z'
loop_
_atom_site_label
_atom_site_type_symbol
_atom_site_fract_x
_atom_site_fract_y
_atom_site_fract_z
Pd1 Pd 0.000 0.500 0.000
Hg1 Hg 0.500 0.500 0.500
Ag1 Ag 0.000 0.000 0.500
Ag2 Ag 0.500 0.000 0.000
Ge1 Ge 0.000 0.000 0.000
```

Entry 7:
A plane-wave DFT calculation with PBE was carried out for AsAuBr2 after structural relaxation.

Results
The calculation puts the uncorrected formation energy at 87 kJ/mol of formula units.

CIF file:
```
data_AsAuBr2
_space_group_name_H-M_alt 'P 1'
_space_group_IT_number 1
_cell_length_a 3.452
_cell_length_b 3.452
_cell_length_c 8.635
_cell_angle_alpha 90.00
_cell_angle_beta 90.00
_cell_angle_gamma 90.00
loop_
_space_group_symop_operation_xyz
'x,y,z'
loop_
_atom_site_label
_atom_site_type_symbol
_atom_site_fract_x
_atom_site_fract_y
_atom_site_fract_z
Br1 Br 0.500 0.500 0.325
Br2 Br 0.000 0.000 0.914
As1 As 0.000 0.000 0.550
Au1 Au 0.500 0.500 0.710
```

Entry 8:
A plane-wave DFT calculation with PBE was carried out for Pr4Ir2O after structural relaxation.

Results
The calculation puts the uncorrected formation energy at -725 kJ/mol of formula units.

CIF file:
```
data_Pr4Ir2O
_space_group_name_H-M_alt 'P 1'
_space_group_IT_number 1
_cell_length_a 4.827
_cell_length_b 4.827
_cell_length_c 8.157
_cell_angle_alpha 107.21
_cell_angle_beta 107.21
_cell_angle_gamma 90.00
loop_
_space_group_symop_operation_xyz
'x,y,z'
loop_
_atom_site_label
_atom_site_type_symbol
_atom_site_fract_x
_atom_site_fract_y
_atom_site_fract_z
O1 O 0.000 0.000 0.000
Pr1 Pr 0.187 0.187 0.373
Pr2 Pr 0.000 0.500 0.000
Pr3 Pr 0.813 0.813 0.627
Pr4 Pr 0.500 0.000 0.000
Ir1 Ir 0.372 0.372 0.744
Ir2 Ir 0.628 0.628 0.256
```

Entry 9:
A plane-wave DFT calculation with PBE was carried out for NaCa2Ho after structural relaxation.

Results
As for the formation enthalpy at 0 K: 0.1045 eV per atom.

CIF file:
```
data_NaCa2Ho
_space_group_name_H-M_alt 'P 1'
_space_group_IT_number 1
_cell_length_a 3.674
_cell_length_b 3.674
_cell_length_c 11.085
_cell_angle_alpha 90.00
_cell_angle_beta 90.00
_cell_angle_gamma 90.00
loop_
_space_group_symop_operation_xyz
'x,y,z'
loop_
_atom_site_label
_atom_site_type_symbol
_atom_site_fract_x
_atom_site_fract_y
_atom_site_fract_z
Na1 Na 0.500 0.500 0.500
Ho1 Ho 0.500 0.500 0.000
Ca1 Ca 0.000 0.000 0.239
Ca2 Ca 0.000 0.000 0.761
```

Entry 10:
A plane-wave DFT calculation with PBE was carried out for KSm2Cl2F5 after structural relaxation.

Results
The calculation puts the uncorrected formation energy at -3151 kJ/mol of formula units.

CIF file:
```
data_KSm2Cl2F5
_space_group_name_H-M_alt 'P 1'
_space_group_IT_number 1
_cell_length_a 3.548
_cell_length_b 9.907
_cell_length_c 9.907
_cell_angle_alpha 90.00
_cell_angle_beta 90.00
_cell_angle_gamma 90.00
loop_
_space_group_symop_operation_xyz
'x,y,z'
loop_
_atom_site_label
_atom_site_type_symbol
_atom_site_fract_x
_atom_site_fract_y
_atom_site_fract_z
F1 F 0.500 0.226 0.079
F2 F 0.500 0.921 0.226
F3 F 0.500 0.079 0.774
F4 F 0.500 0.500 0.000
F5 F 0.500 0.000 0.500
F6 F 0.500 0.274 0.579
F7 F 0.500 0.726 0.421
F8 F 0.500 0.421 0.274
F9 F 0.500 0.774 0.921
F10 F 0.500 0.579 0.726
Sm1 Sm 0.000 0.869 0.369
Sm2 Sm 0.000 0.631 0.869
Sm3 Sm 0.000 0.369 0.131
Sm4 Sm 0.000 0.131 0.631
Cl1 Cl 0.000 0.335 0.835
Cl2 Cl 0.000 0.665 0.165
Cl3 Cl 0.000 0.835 0.665
Cl4 Cl 0.000 0.165 0.335
K1 K 0.000 0.000 0.000
K2 K 0.000 0.500 0.500
```

Entry 11:
A plane-wave DFT calculation with PBE was carried out for HoPaNiRu after structural relaxation.

Results
As for the formation enthalpy at 0 K: -0.5146 eV per atom.

CIF file:
```
data_HoPaNiRu
_space_group_name_H-M_alt 'P 1'
_space_group_IT_number 1
_cell_length_a 3.670
_cell_length_b 3.959
_cell_length_c 5.888
_cell_angle_alpha 90.00
_cell_angle_beta 108.16
_cell_angle_gamma 90.00
loop_
_space_group_symop_operation_xyz
'x,y,z'
loop_
_atom_site_label
_atom_site_type_symbol
_atom_site_fract_x
_atom_site_fract_y
_atom_site_fract_z
Ho1 Ho 0.143 0.000 0.286
Ru1 Ru 0.404 0.000 0.809
Ni1 Ni 0.579 0.500 0.159
Pa1 Pa 0.873 0.500 0.747
```

Entry 12:
A plane-wave DFT calculation with PBE was carried out for Cs4Th3PdSe8 after structural relaxation.

Results
The calculation puts the uncorrected formation energy at -2107 kJ/mol of formula units.

CIF file:
```
data_Cs4Th3PdSe8
_space_group_name_H-M_alt 'P 1'
_space_group_IT_number 1
_cell_length_a 8.671
_cell_length_b 9.765
_cell_length_c 8.755
_cell_angle_alpha 116.71
_cell_angle_beta 119.68
_cell_angle_gamma 90.00
loop_
_space_group_symop_operation_xyz
'x,y,z'
loop_
_atom_site_label
_atom_site_type_symbol
_atom_site_fract_x
_atom_site_fract_y
_atom_site_fract_z
Th1 Th 0.000 0.500 0.500
Th2 Th 0.500 0.500 0.000
Th3 Th 0.500 0.500 0.500
Se1 Se 0.721 0.682 0.950
Se2 Se 0.771 0.318 0.050
Se3 Se 0.731 0.694 0.462
Se4 Se 0.269 0.306 0.538
Se5 Se 0.762 0.311 0.524
Se6 Se 0.238 0.689 0.476
Se7 Se 0.229 0.682 0.950
Se8 Se 0.279 0.318 0.050
Pd1 Pd 0.000 0.500 0.000
Cs1 Cs 0.000 0.000 0.500
Cs2 Cs 0.500 0.000 0.000
Cs3 Cs 0.500 0.000 0.500
Cs4 Cs 0.000 0.000 0.000
```